A plane-wave DFT calculation with PBE+U was carried out for crystalline NiBr2O at its relaxed geometry.

Cell lengths 4.5694, 4.5694, 4.5694 Å; angles 60.00, 60.00, 60.00 degrees
Fractional positions:
1 Ni 0.0000 0.0000 0.0000
2 Br 0.2500 0.2500 0.2500
3 Br 0.7500 0.7500 0.7500
4 O 0.5000 0.5000 0.5000

Properties
The total magnetic moment is 0.11 μB/atom. The value obtained for the energy is -6.97 eV/cell.